Computed, not measured: a PBEsol-optimized structure of Sc2FeCl at the SCAN level of DFT.

E_form (uncorrected) = -0.30 eV per atom
ΔE to the lowest computed polymorph = 0.229 eV/atom

a = 3.0621 Å, b = 3.0621 Å, c = 8.8136 Å
α = 90.00°, β = 90.00°, γ = 90.00°
Space group P4mm (No. 99)
Symmetry-distinct sites (fractional):
Sc 0.0000 0.0000 0.0000 [1 per cell]
Sc 0.5000 0.5000 0.2971 [1 per cell]
Fe 0.5000 0.5000 0.8113 [1 per cell]
Cl 0.0000 0.0000 0.4645 [1 per cell]